# 1
KTlSb2 | PBE | optimized geometry

Unit cell a=4.3128 b=7.0292 c=9.9902 alpha=90.00 beta=90.00 gamma=90.00
Fractional positions:
K  0.0000  0.0830  0.0000
K  0.0000  0.9170  0.5000
Tl  0.5000  0.3500  0.3214
Tl  0.5000  0.6500  0.8214
Sb  0.0000  0.4252  0.5912
Sb  0.0000  0.5748  0.0912
Sb  0.5000  0.2180  0.7186
Sb  0.5000  0.7820  0.2186

Its calculated volume is 37.86 A^3/atom. As for the uncorrected formation energy: -0.21 eV/atom. The value obtained for the offset from the most stable computed form is 0 meV per atom. The calculation puts the total magnetic moment at 0.0 Bohr magnetons per cell. As for the uncorrected energy: -3.14 eV/atom. Its symmetry is Pmc2_1 (26).

=====

# 2
KTiHg2 | PBE | optimized geometry

Unit cell a=6.8464 b=6.8464 c=6.8464 alpha=105.73 beta=105.73 gamma=117.25
Fractional positions:
K  0.0000  0.0000  0.0000
K  0.7500  0.2500  0.5000
Ti  0.2500  0.7500  0.5000
Ti  0.5000  0.5000  0.0000
Hg  0.1841  0.6250  0.0591
Hg  0.3750  0.4341  0.5591
Hg  0.5659  0.1250  0.9409
Hg  0.8750  0.8159  0.4409

Its calculated volume is 30.45 A^3/atom. The calculation puts the total magnetic moment at 4.5 Bohr magnetons per cell. The calculation puts the formation enthalpy at 0 K at 1.54 eV per formula unit. As for the uncorrected energy: -2.01 eV/atom. Its symmetry is I-42d (122).

=====

Question: Which of these has the highest calculated volume?
Answer: KTlSb2

=====

Question: total magnetic moment of number 1 (KTlSb2)?
Answer: 0.0 Bohr magnetons per cell

=====

Question: The lowest total magnetic moment belongs to which entry?
Answer: KTlSb2